Compound: Cu2TcIr
Source: the Alexandria database
Functional: PBE-GGA
Structure: optimized geometry

Energy relative to the elements, eV/atom: 0.358
Volume, Å³/cell: 52.85
Total magnetic moment, μB per atom: 0.0000

Cell: 4.2932 4.2932 2.8674 Å, 90.00 90.00 90.00°
Last column: nearest neighbours and their distance in Å.
Space group P4/mmm (No. 123)
Asymmetric unit:
Cu  0.0000  0.5000  0.0000  4 Ir 2.58, 4 Tc 2.58, 2 Cu 2.87
Tc  0.0000  0.0000  0.5000  8 Cu 2.58, 2 Tc 2.87
Ir  0.5000  0.5000  0.5000  8 Cu 2.58, 2 Ir 2.87